A plane-wave DFT calculation with PBE was carried out for crystalline SiGeF2 at its relaxed geometry.

POSCAR file:
```
SiGeF2
1.0
3.740 0.000 0.000
0.000 3.740 0.000
1.870 1.870 7.749
F Ge Si
4 2 2
Direct
0.612 0.125 0.250
0.375 0.388 0.750
0.875 0.862 0.750
0.138 0.625 0.250
0.750 0.250 0.500
0.000 0.000 0.000
0.500 0.500 0.000
0.250 0.750 0.500
```

Output
Raw formation energy (meV/atom): -1001
Excess energy over the best structure of this formula in the dataset (meV per atom): 309
Total DFT energy (no corrections) (eV/atom): -4.45
Magnetization (Bohr magnetons per cell): 0.00